The following is a PBE calculation of CeBeCo after structural relaxation, from Alexandria.

Cell lengths 3.9120, 3.9120, 3.7194 Å; angles 90.00, 90.00, 120.00 degrees
Space group P-6m2 (No. 187)
Unique sites:
Ce 0.0000 0.0000 0.0000 [1 per cell]
Be 0.6667 0.3333 0.5000 [1 per cell]
Co 0.3333 0.6667 0.5000 [1 per cell]

**Formation energy**: -0.09 eV per atom
**Offset from the most stable computed form**: 111 meV per atom
**DOS at the Fermi energy**: 1.592 states/eV per atom